Gd2ReCl (PBE, relaxed); crystal system = trigonal; final energy = -10.50 eV per atom; N(E_F) = 3.73 states/eV/f.u.; mass density = 10.06 g/cm³; E_form (uncorrected) = 0.1107 eV per atom; total moment = 13.76 μB per formula unit; energy above the lowest structure with this stoichiometry = 737 meV per atom; V = 88.51 Å³ per cell
1.0
3.189 0.000 0.000
1.594 2.762 0.000
1.594 0.921 10.051
Cl Re Gd
1 1 2
Direct
0.500 0.500 0.500
0.000 0.000 0.000
0.090 0.090 0.730
0.910 0.910 0.270